## LaHg3Pd2 (GGA-PBE)

Data for crystalline LaHg3Pd2 at its relaxed geometry.

Unit cell a=4.129 b=8.864 c=8.872 alpha=63.28 beta=76.54 gamma=76.53
Positions (direct):
Pd: 0.500 0.856 0.144
Pd: 0.205 0.295 0.295
Pd: 0.500 0.144 0.856
Pd: 0.795 0.705 0.705
La: 0.865 0.135 0.136
La: 0.135 0.865 0.864
Hg: 0.671 0.123 0.535
Hg: 0.329 0.877 0.465
Hg: 0.000 0.651 0.348
Hg: 0.000 0.349 0.652
Hg: 0.672 0.535 0.122
Hg: 0.328 0.465 0.878

Crystal system   monoclinic
Total DFT energy (no corrections)   -37.50 eV for the cell shown
Magnetization   0.00 μB/f.u.

***

## In2FeSb (GGA-PBE)

Data for crystalline In2FeSb at its relaxed geometry.

Unit cell a=3.188 b=3.188 c=8.695 alpha=90.00 beta=90.00 gamma=90.00
Positions (direct):
In: 0.500 0.500 0.239
In: 0.000 0.000 0.945
Sb: 0.000 0.000 0.573
Fe: 0.500 0.500 0.744

Crystal system   tetragonal
Total DFT energy (no corrections)   -17.42 eV for the cell shown
Magnetization   1.71 μB/f.u.

***

## Na4Bi4Sb (GGA-PBE)

Data for crystalline Na4Bi4Sb at its relaxed geometry.

Unit cell a=3.651 b=8.889 c=8.889 alpha=87.58 beta=78.15 gamma=78.15
Positions (direct):
Bi: 0.153 0.789 0.404
Bi: 0.557 0.096 0.289
Bi: 0.847 0.211 0.596
Bi: 0.443 0.904 0.711
Sb: 0.500 0.500 0.000
Na: 0.870 0.461 0.298
Na: 0.130 0.539 0.702
Na: 0.831 0.798 0.039
Na: 0.169 0.202 0.961

Crystal system   tetragonal
Total DFT energy (no corrections)   -26.10 eV for the cell shown
Magnetization   0.00 μB/f.u.

***

## Pu2NiH4 (GGA-PBE)

Data for crystalline Pu2NiH4 at its relaxed geometry.

Unit cell a=3.488 b=3.488 c=6.975 alpha=104.48 beta=104.48 gamma=90.00
Positions (direct):
Pu: 0.364 0.364 0.729
Pu: 0.636 0.636 0.271
H: 0.122 0.122 0.244
H: 0.250 0.750 0.500
H: 0.878 0.878 0.756
H: 0.750 0.250 0.500
Ni: 0.000 0.000 0.000

Crystal system   tetragonal
Excess energy over the best structure of this formula in the dataset   0 meV per atom
Magnetization   11.10 μB/f.u.

***

## NaErCdF6 (GGA-PBE)

Data for crystalline NaErCdF6 at its relaxed geometry.

Unit cell a=5.207 b=5.207 c=10.569 alpha=90.00 beta=90.00 gamma=90.00
Positions (direct):
F: 0.687 0.687 0.993
F: 0.295 0.295 0.328
F: 0.305 0.305 0.679
F: 0.813 0.187 0.493
F: 0.313 0.313 0.993
F: 0.795 0.205 0.828
F: 0.705 0.705 0.328
F: 0.187 0.813 0.493
F: 0.195 0.805 0.179
F: 0.205 0.795 0.828
F: 0.805 0.195 0.179
F: 0.695 0.695 0.679
Cd: 0.500 0.500 0.167
Cd: 0.000 0.000 0.667
Na: 0.500 0.500 0.499
Na: 0.000 0.000 0.999
Er: 0.000 0.000 0.333
Er: 0.500 0.500 0.833

Crystal system   tetragonal
Total DFT energy (no corrections)   -93.49 eV for the cell shown
Magnetization   0.00 μB/f.u.

***

## CoAgAs2 (GGA-PBE)

Data for crystalline CoAgAs2 at its relaxed geometry.

Unit cell a=3.164 b=5.443 c=5.299 alpha=46.67 beta=90.00 gamma=90.00
Positions (direct):
Ag: 0.000 0.000 0.500
As: 0.000 0.000 0.000
As: 0.500 0.500 0.000
Co: 0.500 0.500 0.500

Crystal system   monoclinic
Excess energy over the best structure of this formula in the dataset   304 meV per atom
Magnetization   1.13 μB/f.u.

***

## Ac2La4NdSm (GGA-PBE)

Data for crystalline Ac2La4NdSm at its relaxed geometry.

Unit cell a=3.802 b=6.494 c=12.595 alpha=79.50 beta=90.00 gamma=90.00
Positions (direct):
La: 0.000 0.747 0.753
La: 0.500 0.255 0.748
La: 0.500 0.745 0.252
La: 0.000 0.253 0.247
Ac: 0.000 0.000 0.000
Ac: 0.500 0.000 0.500
Sm: 0.500 0.500 0.000
Nd: 0.000 0.500 0.500

Crystal system   monoclinic
Total DFT energy (no corrections)   -37.21 eV for the cell shown
Magnetization   0.00 μB/f.u.

***

## SmY6Er3 (GGA-PBE)

Data for crystalline SmY6Er3 at its relaxed geometry.

Unit cell a=6.241 b=10.939 c=10.939 alpha=119.77 beta=90.00 gamma=90.00
Positions (direct):
Y: 0.360 0.043 0.461
Y: 0.860 0.461 0.043
Y: 0.652 0.283 0.717
Y: 0.860 0.957 0.539
Y: 0.406 0.952 0.048
Y: 0.535 0.619 0.709
Y: 0.360 0.539 0.957
Y: 0.152 0.717 0.283
Y: 0.035 0.709 0.619
Y: 0.535 0.291 0.381
Y: 0.906 0.048 0.952
Y: 0.035 0.381 0.291
Sm: 0.657 0.794 0.206
Sm: 0.157 0.206 0.794
Er: 0.452 0.282 0.064
Er: 0.575 0.611 0.389
Er: 0.452 0.936 0.718
Er: 0.952 0.718 0.936
Er: 0.075 0.389 0.611
Er: 0.952 0.064 0.282

Crystal system   orthorhombic
Excess energy over the best structure of this formula in the dataset   28 meV per atom
Magnetization   0.00 μB/f.u.

***

## BaU2CuP4 (GGA-PBE)

Data for crystalline BaU2CuP4 at its relaxed geometry.

Unit cell a=4.054 b=7.078 c=13.406 alpha=90.00 beta=90.00 gamma=106.64
Positions (direct):
Ba: 0.107 0.214 0.750
Ba: 0.893 0.786 0.250
P: 0.257 0.515 0.392
P: 0.573 0.145 0.250
P: 0.257 0.515 0.108
P: 0.427 0.855 0.750
P: 0.743 0.485 0.892
P: 0.000 0.000 0.500
P: 0.000 0.000 0.000
P: 0.743 0.485 0.608
Cu: 0.161 0.323 0.250
Cu: 0.839 0.677 0.750
U: 0.631 0.261 0.442
U: 0.369 0.739 0.942
U: 0.631 0.261 0.058
U: 0.369 0.739 0.558

Crystal system   orthorhombic
Total DFT energy (no corrections)   -113.86 eV for the cell shown
Magnetization   3.00 μB/f.u.

***

## Tl2ReHgO4 (GGA-PBE)

Data for crystalline Tl2ReHgO4 at its relaxed geometry.

Unit cell a=6.549 b=6.549 c=6.549 alpha=114.29 beta=107.12 gamma=107.12
Positions (direct):
Re: 0.000 0.500 0.500
O: 0.074 0.510 0.261
O: 0.926 0.188 0.436
O: 0.752 0.564 0.490
O: 0.248 0.739 0.812
Tl: 0.000 0.000 0.000
Tl: 0.500 0.750 0.250
Hg: 0.500 0.250 0.750

Crystal system   tetragonal
Total DFT energy (no corrections)   -45.41 eV for the cell shown
Magnetization   0.61 μB/f.u.

***

## Tl2SnHg2Pb4 (GGA-PBE)

Data for crystalline Tl2SnHg2Pb4 at its relaxed geometry.

Unit cell a=3.529 b=9.184 c=9.315 alpha=114.86 beta=90.00 gamma=101.08
Positions (direct):
Sn: 0.000 0.000 0.000
Tl: 0.664 0.328 0.988
Tl: 0.336 0.672 0.012
Pb: 0.186 0.372 0.326
Pb: 0.477 0.954 0.668
Pb: 0.814 0.628 0.674
Pb: 0.523 0.046 0.332
Hg: 0.854 0.708 0.338
Hg: 0.146 0.292 0.662

Crystal system   monoclinic
Total DFT energy (no corrections)   -23.99 eV for the cell shown
Magnetization   0.00 μB/f.u.

***

## AcDyErAl (GGA-PBE)

Data for crystalline AcDyErAl at its relaxed geometry.

Unit cell a=5.495 b=5.495 c=5.495 alpha=60.00 beta=60.00 gamma=60.00
Positions (direct):
Dy: 0.000 0.000 0.000
Al: 0.250 0.250 0.250
Er: 0.500 0.500 0.500
Ac: 0.750 0.750 0.750

Crystal system   cubic
Total DFT energy (no corrections)   -16.62 eV for the cell shown
Magnetization   0.08 μB/f.u.

***

## LaDy2H (GGA-PBE)

Data for crystalline LaDy2H at its relaxed geometry.

Unit cell a=3.369 b=3.369 c=8.742 alpha=90.00 beta=90.00 gamma=90.00
Positions (direct):
H: 0.500 0.500 0.000
Dy: 0.000 0.000 0.817
Dy: 0.000 0.000 0.183
La: 0.500 0.500 0.500

Crystal system   tetragonal
Excess energy over the best structure of this formula in the dataset   223 meV per atom
Magnetization   0.00 μB/f.u.

***

## NdPuSc (GGA-PBE)

Data for crystalline NdPuSc at its relaxed geometry.

Unit cell a=3.441 b=10.122 c=9.166 alpha=90.00 beta=90.00 gamma=90.00
Positions (direct):
Nd: 0.750 0.650 0.425
Nd: 0.750 0.850 0.925
Nd: 0.250 0.350 0.575
Nd: 0.250 0.150 0.075
Pu: 0.750 0.056 0.443
Pu: 0.250 0.556 0.057
Pu: 0.250 0.944 0.557
Pu: 0.750 0.444 0.943
Sc: 0.750 0.364 0.262
Sc: 0.250 0.864 0.238
Sc: 0.250 0.636 0.738
Sc: 0.750 0.136 0.762

Crystal system   orthorhombic
Excess energy over the best structure of this formula in the dataset   128 meV per atom
Magnetization   0.00 μB/f.u.

***

## Mg2CdAg (GGA-PBE)

Data for crystalline Mg2CdAg at its relaxed geometry.

Unit cell a=5.285 b=5.285 c=5.285 alpha=132.06 beta=132.06 gamma=70.14
Positions (direct):
Mg: 0.000 0.000 0.000
Mg: 0.250 0.750 0.500
Cd: 0.750 0.250 0.500
Ag: 0.500 0.500 0.000

Crystal system   tetragonal
Excess energy over the best structure of this formula in the dataset   57 meV per atom
Magnetization   0.00 μB/f.u.

***

## SmTe (GGA-PBE)

Data for crystalline SmTe at its relaxed geometry.

Unit cell a=4.445 b=4.445 c=4.445 alpha=60.00 beta=60.00 gamma=60.00
Positions (direct):
Sm: 0.000 0.000 0.000
Te: 0.500 0.500 0.500

Crystal system   cubic
Total DFT energy (no corrections)   -10.62 eV for the cell shown
Magnetization   0.00 μB/f.u.

***

## BTeP2N (GGA-PBE)

Data for crystalline BTeP2N at its relaxed geometry.

Unit cell a=3.664 b=7.328 c=3.664 alpha=90.00 beta=90.00 gamma=90.00
Positions (direct):
B: 0.500 0.500 0.500
P: 0.000 0.000 0.500
P: 0.500 0.000 0.000
N: 0.000 0.000 0.000
Te: 0.000 0.500 0.000

Crystal system   tetragonal
Total DFT energy (no corrections)   -21.68 eV for the cell shown
Magnetization   0.00 μB/f.u.

***

## KYPt (GGA-PBE)

Data for crystalline KYPt at its relaxed geometry.

Unit cell a=4.991 b=4.991 c=4.991 alpha=60.00 beta=60.00 gamma=60.00
Positions (direct):
K: 0.500 0.500 0.500
Y: 0.000 0.000 0.000
Pt: 0.750 0.750 0.750

Crystal system   cubic
Excess energy over the best structure of this formula in the dataset   236 meV per atom
Magnetization   0.00 μB/f.u.

***

## Ho8PS6 (GGA-PBE)

Data for crystalline Ho8PS6 at its relaxed geometry.

Unit cell a=3.957 b=9.886 c=9.886 alpha=120.00 beta=90.00 gamma=90.00
Positions (direct):
S: 0.246 0.520 0.652
S: 0.754 0.652 0.132
S: 0.754 0.480 0.348
S: 0.246 0.348 0.868
S: 0.754 0.868 0.520
S: 0.246 0.132 0.480
Ho: 0.259 0.681 0.969
Ho: 0.254 0.667 0.333
Ho: 0.741 0.319 0.031
Ho: 0.259 0.031 0.712
Ho: 0.259 0.288 0.319
Ho: 0.741 0.969 0.288
Ho: 0.741 0.712 0.681
Ho: 0.746 0.333 0.667
P: 0.500 0.000 0.000

Crystal system   trigonal
Total DFT energy (no corrections)   -89.15 eV for the cell shown
Magnetization   0.00 μB/f.u.

***

## Tb3Dy5P8 (GGA-PBE)

Data for crystalline Tb3Dy5P8 at its relaxed geometry.

Unit cell a=8.029 b=8.029 c=8.028 alpha=60.00 beta=60.00 gamma=60.00
Positions (direct):
P: 0.749 0.250 0.751
P: 0.250 0.250 0.751
P: 0.750 0.750 0.751
P: 0.750 0.251 0.249
P: 0.750 0.750 0.249
P: 0.251 0.750 0.249
P: 0.250 0.250 0.249
P: 0.250 0.749 0.751
Dy: 0.500 0.500 0.500
Dy: 0.500 0.000 0.000
Dy: 0.000 0.500 0.000
Dy: 0.500 0.500 0.000
Dy: 0.000 0.000 0.000
Tb: 0.500 0.000 0.500
Tb: 0.000 0.000 0.500
Tb: 0.000 0.500 0.500

Crystal system   trigonal
Total DFT energy (no corrections)   -106.01 eV for the cell shown
Magnetization   0.00 μB/f.u.

***

## Ac2SiO (GGA-PBE)

Data for crystalline Ac2SiO at its relaxed geometry.

Unit cell a=4.215 b=4.215 c=7.226 alpha=73.04 beta=73.04 gamma=60.00
Positions (direct):
Si: 0.000 0.000 0.000
O: 0.500 0.500 0.500
Ac: 0.760 0.760 0.719
Ac: 0.240 0.240 0.281

Crystal system   trigonal
Excess energy over the best structure of this formula in the dataset   254 meV per atom
Magnetization   0.00 μB/f.u.

***

## CaHf3Bi (GGA-PBE)

Data for crystalline CaHf3Bi at its relaxed geometry.

Unit cell a=5.448 b=5.448 c=5.448 alpha=90.00 beta=90.00 gamma=90.00
Positions (direct):
Hf: 0.000 0.000 0.500
Hf: 0.000 0.500 0.000
Hf: 0.500 0.000 0.000
Ca: 0.500 0.500 0.500
Bi: 0.000 0.000 0.000

Crystal system   cubic
Excess energy over the best structure of this formula in the dataset   0 meV per atom
Magnetization   0.00 μB/f.u.

***

## AgTe3Br (GGA-PBE)

Data for crystalline AgTe3Br at its relaxed geometry.

Unit cell a=5.444 b=5.444 c=5.444 alpha=90.00 beta=90.00 gamma=90.00
Positions (direct):
Te: 0.000 0.500 0.000
Te: 0.000 0.000 0.500
Te: 0.500 0.000 0.000
Ag: 0.000 0.000 0.000
Br: 0.500 0.500 0.500

Crystal system   cubic
Total DFT energy (no corrections)   -11.27 eV for the cell shown
Magnetization   0.00 μB/f.u.

***

## ReAg2Pb (GGA-PBE)

Data for crystalline ReAg2Pb at its relaxed geometry.

Unit cell a=5.939 b=5.939 c=5.939 alpha=151.65 beta=127.86 gamma=60.41
Positions (direct):
Ag: 0.005 0.005 0.000
Ag: 0.761 0.261 0.500
Pb: 0.492 0.492 0.000
Re: 0.242 0.742 0.500

Crystal system   orthorhombic
Total DFT energy (no corrections)   -18.50 eV for the cell shown
Magnetization   0.53 μB/f.u.